DFT (PBE) results for an optimized crystal structure of ScNi2Ag.

Spin magnetization = 0.000 μB/f.u.
Total DFT energy (no corrections) = -0.3925 Ry per atom
Theoretical density = 7.3 Mg/m³
SG = Amm2

Lattice parameters (Å, degrees): 3.9319 3.2250 5.1299 71.67 90.00 90.00
Sites, in units of the cell vectors:
Ni 0.0000 0.1939 0.9886
Ni 0.5000 0.0559 0.2629
Ag 0.5000 0.7817 0.8113
Sc 0.0000 0.4685 0.4372